No. 1
A geometry-optimized Ta4FePC2 structure. Source: OQMD via LeMat-Bulk, functional PBE-GGA.

Lattice parameters (Å, degrees): 3.1638 3.1638 12.4175 90.00 90.00 120.00
Closest atoms and distances in Å follow each position.
Space group P-6m2 (No. 187)
Asymmetric unit:
Ta1 0.0000 0.0000 0.1417 (multiplicity 2)  3 C 2.23
Ta2 0.6667 0.3333 0.3427 (multiplicity 2)  3 C 2.20
Fe1 0.0000 0.0000 0.5000 (multiplicity 1)  6 Ta 2.67
P1 0.6667 0.3333 0.0000 (multiplicity 1)  6 Ta 2.54
C1 0.3333 0.6667 0.2444 (multiplicity 2)  6 Ta 2.20-2.23



No. 2
A geometry-optimized Ta4FePC2 structure. Source: OQMD via LeMat-Bulk, functional PBE-GGA.

Lattice parameters (Å, degrees): 3.1659 3.1659 12.4142 90.00 90.00 120.00
Closest atoms and distances in Å follow each position.
Space group P-6m2 (No. 187)
Asymmetric unit:
Ta1 0.0000 0.0000 0.1418 (multiplicity 2)  3 C 2.23
Ta2 0.3333 0.6667 0.3426 (multiplicity 2)  3 C 2.20
Fe1 0.0000 0.0000 0.5000 (multiplicity 1)  6 Ta 2.68
P1 0.3333 0.6667 0.0000 (multiplicity 1)  6 Ta 2.54
C1 0.6667 0.3333 0.2444 (multiplicity 2)  6 Ta 2.20-2.23



No. 3
A geometry-optimized Zr4FePC2 structure. Source: OQMD via LeMat-Bulk, functional PBE-GGA.

Lattice parameters (Å, degrees): 3.3802 3.3802 12.7898 90.00 90.00 120.00
Closest atoms and distances in Å follow each position.
Space group P-6m2 (No. 187)
Asymmetric unit:
Zr1 0.0000 0.0000 0.1422 (multiplicity 2)  3 C 2.33
Zr2 0.6667 0.3333 0.3463 (multiplicity 2)  3 C 2.36
Fe1 0.0000 0.0000 0.5000 (multiplicity 1)  6 Zr 2.77
P1 0.6667 0.3333 0.0000 (multiplicity 1)  6 Zr 2.67
C1 0.3333 0.6667 0.2422 (multiplicity 2)  6 Zr 2.33-2.36



No. 4
A geometry-optimized Fe4PbC2S structure. Source: OQMD via LeMat-Bulk, functional PBE-GGA.

Lattice parameters (Å, degrees): 3.1037 3.1037 11.6433 90.00 90.00 120.00
Closest atoms and distances in Å follow each position.
Space group P-6m2 (No. 187)
Asymmetric unit:
Fe1 0.0000 0.0000 0.1384 (multiplicity 2)  3 C 2.10
Fe2 0.6667 0.3333 0.2903 (multiplicity 2)  3 C 1.91
Pb1 0.0000 0.0000 0.5000 (multiplicity 1)  6 Fe 3.03, 6 Pb 3.10
C1 0.3333 0.6667 0.2326 (multiplicity 2)  6 Fe 1.91-2.10
S1 0.6667 0.3333 0.0000 (multiplicity 1)  6 Fe 2.41



| no. | final energy (eV per atom) |
| --- | --- |
| 1 | -10.42 |
| 2 | -10.42 |
| 3 | -8.95 |
| 4 | -7.20 |